Material: AlInOs2
Method: DFT, PBE
State: relaxed

The structure belongs to space group Pmm2 (No. 25); the cell edges are 2.8768, 3.8349 and 5.7991 Å and the angles 90.00°, 90.00° and 90.00°. The inequivalent atoms are Al at (0.0000, 0.0000, 0.0000), In at (0.5000, 0.5000, 0.2972), Os at (0.0000, 0.0000, 0.5587) and Os at (0.5000, 0.5000, 0.7974).

The total magnetic moment comes out at 0.0 μB/f.u. For the formation energy from the elements, the calculation gives 0.24 eV/atom. Its density of states at the Fermi level is 0.904 states/eV per atom.